one) A plane-wave DFT calculation with PBE was carried out for an optimized crystal structure of K2PCl. Values from VASP.

```
&SYSTEM
  ibrav = 0, nat = 4, ntyp = 3
/
ATOMIC_SPECIES
K 39.10 K.upf
P 30.97 P.upf
Cl 35.45 Cl.upf
ATOMIC_POSITIONS crystal
K 0.000 0.000 0.000
K 0.750 0.250 0.500
P 0.250 0.750 0.500
Cl 0.500 0.500 0.000
CELL_PARAMETERS angstrom
-2.264 2.264 7.048
2.264 -2.264 7.048
2.264 2.264 -7.048
```

Values from the calculation:
For the magnetization, the calculation gives 2.00 μB/f.u.

=====

two) A plane-wave DFT calculation with PBE was carried out for an optimized crystal structure of K2PCl. Values from VASP.

```
&SYSTEM
  ibrav = 0, nat = 4, ntyp = 3
/
ATOMIC_SPECIES
K 39.10 K.upf
P 30.97 P.upf
Cl 35.45 Cl.upf
ATOMIC_POSITIONS crystal
K 0.000 0.000 0.224
K 0.000 0.000 0.776
P 0.500 0.500 0.500
Cl 0.500 0.500 0.000
CELL_PARAMETERS angstrom
3.529 0.000 0.000
0.000 3.529 0.000
0.000 0.000 8.729
```

Values from the calculation:
For the magnetization, the calculation gives 0.00 μB/f.u.

=====

Which is less stable than every other structure shown? one) is.